Record 1
Density functional theory data (PBE-GGA) for a relaxed ZnCu3Pt7 crystal.

The structure belongs to space group C2/m (No. 12); the cell edges are 8.5768, 9.1344 and 4.9617 Å and the angles 90.00°, 115.29° and 90.00°. Symmetry generates all atoms from Zn at (0.0000, 0.0000, 0.0000), Cu at (0.0000, 0.2763, 0.5000), Cu at (0.0000, 0.5000, 0.0000), Pt at (0.0000, 0.0000, 0.5000), Pt at (0.1725, 0.2594, 0.1802) and Pt at (0.1957, 0.5000, 0.5460).

The raw total energy comes out at -109.9 eV for the cell shown. The volume comes out at 15.976 A^3/atom. The formation energy comes out at 0.89 eV/f.u.



Record 2
Density functional theory data (PBE-GGA) for a relaxed ZnCu3Pt crystal.

The structure belongs to space group Ama2 (No. 40); the cell edges are 2.7929, 21.6005 and 4.3917 Å and the angles 90.00°, 90.00° and 90.00°. Symmetry generates all atoms from Zn at (0.2500, 0.1489, 0.0000), Cu at (0.2500, 0.0470, 0.3620), Cu at (0.2500, 0.2503, 0.6441), Cu at (0.2500, 0.4522, 0.3645) and Pt at (0.2500, 0.3515, 0.9996).

The calculation puts the energy relative to the lowest polymorph listed for this composition at 0.0 meV per atom. The raw total energy comes out at -82.2 eV for the cell shown. The volume comes out at 13.247 A^3/atom. The formation energy comes out at -0.94 eV/f.u.



Record 3
Density functional theory data (PBE-GGA) for a relaxed Zn12Cu6Pt crystal.

The structure belongs to space group R-3 (No. 148, hexagonal axes); the cell edges are 9.1348, 9.1348 and 11.1539 Å and the angles 90.00°, 90.00° and 120.00°. Symmetry generates all atoms from Zn at (0.0290, 0.8412, 0.3142), Zn at (0.0608, 0.2131, 0.9128), Cu at (0.0147, 0.5848, 0.1995) and Pt at (0.0000, 0.0000, 0.5000).

The raw total energy comes out at -144.2 eV for the cell shown. The volume comes out at 14.141 A^3/atom. The formation energy comes out at -2.16 eV/f.u.